DFT (PBE) results for ScCoGeMo after structural relaxation.

POSCAR file:
```
ScCoGeMo
1.0
0.0000 3.0963 3.0963
3.0963 0.0000 3.0963
3.0963 3.0963 0.0000
Sc Co Mo Ge
1 1 1 1
direct
0.5000 0.5000 0.5000
0.7500 0.7500 0.7500
0.2500 0.2500 0.2500
0.0000 0.0000 0.0000
```

Values from the calculation:
* final energy: -28.95 eV/cell
* magnetic moment: 1.7 μB/f.u.
* symmetry: No. 216


DFT (PBE) results for TaCoGeMo after structural relaxation.

POSCAR file:
```
TaCoGeMo
1.0
0.4303 -3.3972 2.7009
-2.9175 -3.2406 -0.0899
1.1291 -3.9077 -1.5737
Ge Ta Co Mo
1 1 1 1
direct
0.0000 0.0000 0.0000
0.5000 0.5000 0.5000
0.7500 0.7500 0.7500
0.2500 0.2500 0.2500
```

Values from the calculation:
* final energy: -34.61 eV/cell
* magnetic moment: 0.0 μB/f.u.
* symmetry: No. 216


DFT (PBE) results for YCoGeMo after structural relaxation.

POSCAR file:
```
YCoGeMo
1.0
0.0000 3.2052 3.2052
3.2052 0.0000 3.2052
3.2052 3.2052 0.0000
Co Y Mo Ge
1 1 1 1
direct
0.7500 0.7500 0.7500
0.5000 0.5000 0.5000
0.2500 0.2500 0.2500
0.0000 0.0000 0.0000
```

Values from the calculation:
* final energy: -28.17 eV/cell
* magnetic moment: 1.9 μB/f.u.
* symmetry: No. 216


DFT (PBE) results for YCoGeMo after structural relaxation.

POSCAR file:
```
YCoGeMo
1.0
0.0000 3.2742 3.2742
3.2742 0.0000 3.2742
3.2742 3.2742 0.0000
Mo Co Y Ge
1 1 1 1
direct
0.5000 0.5000 0.5000
0.7500 0.7500 0.7500
0.2500 0.2500 0.2500
0.0000 0.0000 0.0000
```

Values from the calculation:
* final energy: -27.42 eV/cell
* magnetic moment: 3.8 μB/f.u.
* symmetry: No. 216


DFT (PBE) results for Nb4CoGeN2 after structural relaxation.

POSCAR file:
```
Nb4CoGeN2
1.0
3.1583 0.0000 0.0000
-1.5791 2.7352 0.0000
0.0000 0.0000 12.7383
Nb Co N Ge
4 1 2 1
direct
0.0000 0.0000 0.8382
0.3333 0.6667 0.3502
0.3333 0.6667 0.6498
0.0000 0.0000 0.1618
0.0000 0.0000 0.5000
0.6667 0.3333 0.2565
0.6667 0.3333 0.7435
0.3333 0.6667 0.0000
```

Values from the calculation:
* final energy: -72.83 eV/cell
* magnetic moment: 0.3 μB/f.u.
* symmetry: No. 187


DFT (PBE) results for CoGeW4N2 after structural relaxation.

POSCAR file:
```
CoGeW4N2
1.0
-1.6890 -1.4771 1.7349
1.3871 -1.3203 -2.0922
11.1300 -2.3314 8.8505
W N Co Ge
4 2 1 1
direct
0.6667 0.3333 0.1455
0.0000 0.0000 0.3475
0.6667 0.3333 0.8545
0.0000 0.0000 0.6525
0.3333 0.6667 0.2484
0.3333 0.6667 0.7516
0.0000 0.0000 0.0000
0.6667 0.3333 0.5000
```

Values from the calculation:
* final energy: -78.39 eV/cell
* magnetic moment: 0.9 μB/f.u.
* symmetry: No. 187